(1)
This record from the Alexandria database describes a PBEsol-optimized structure of MgCdHg2. The functional is SCAN.

Results
calculated volume	85.8	Å³/f.u.
energy	-172.10	eV for the cell shown
M_tot	0.0	μB/cell

```
MgCdHg2
1.0
2.265 -2.290 0.000
2.265 2.290 0.000
0.000 0.000 8.269
Mg Cd Hg
1 1 2
Direct
0.000 0.000 0.000
0.500 0.500 0.247
0.000 0.000 0.500
0.500 0.500 0.770
```

(2)
This record from the Alexandria database describes a PBEsol-optimized structure of Bi14Pb4Cl8O21. The functional is SCAN.

Results
calculated volume	904.0	Å³/f.u.
M_tot	0.0	μB/cell
E_form (uncorrected)	-26.4	kcal/mol of atoms

```
Bi14Pb4Cl8O21
1.0
14.499 -1.938 0.000
14.499 1.938 0.000
-11.196 0.000 16.087
Bi Pb Cl O
14 4 8 21
Direct
0.000 0.000 0.000
0.047 0.047 0.365
0.131 0.131 0.265
0.216 0.216 0.163
0.285 0.285 0.011
0.517 0.517 0.674
0.594 0.594 0.557
0.678 0.678 0.457
0.762 0.762 0.353
0.811 0.811 0.708
0.845 0.845 0.235
0.888 0.888 0.592
0.914 0.914 0.106
0.964 0.964 0.473
0.085 0.085 0.891
0.364 0.364 0.908
0.446 0.446 0.796
0.727 0.727 0.823
0.107 0.107 0.675
0.190 0.190 0.585
0.275 0.275 0.498
0.362 0.362 0.412
0.452 0.452 0.321
0.537 0.537 0.231
0.617 0.617 0.138
0.692 0.692 0.035
0.014 0.014 0.899
0.029 0.029 0.755
0.049 0.049 0.481
0.134 0.134 0.386
0.218 0.218 0.290
0.219 0.219 0.878
0.298 0.298 0.188
0.354 0.354 0.764
0.376 0.376 0.055
0.432 0.432 0.642
0.460 0.460 0.937
0.509 0.509 0.532
0.592 0.592 0.432
0.676 0.676 0.337
0.757 0.757 0.237
0.801 0.801 0.966
0.807 0.807 0.812
0.846 0.846 0.133
0.888 0.888 0.700
0.927 0.927 0.006
0.967 0.967 0.585
```

(3)
This record from the Alexandria database describes a PBEsol-optimized structure of ZrNb2GaAs. The functional is SCAN.

Results
calculated volume	104.8	Å³/f.u.
energy	-131.17	eV for the cell shown
M_tot	0.0	μB/cell

```
ZrNb2GaAs
1.0
4.757 0.000 0.000
0.000 4.757 0.000
0.000 0.000 4.633
Zr Nb Ga As
1 2 1 1
Direct
0.000 0.000 0.000
0.000 0.500 0.500
0.500 0.000 0.500
0.500 0.500 0.000
0.500 0.500 0.500
```

(4)
This record from the Alexandria database describes a PBEsol-optimized structure of SrP2W2. The functional is SCAN.

Results
calculated volume	93.5	Å³/f.u.
energy	-183.05	eV for the cell shown
M_tot	0.0	μB/cell

```
SrP2W2
1.0
-2.295 2.295 4.437
2.295 -2.295 4.437
2.295 2.295 -4.437
Sr P W
1 2 2
Direct
0.000 0.000 0.000
0.250 0.750 0.500
0.750 0.250 0.500
0.367 0.367 0.000
0.633 0.633 0.000
```

(5)
This record from the Alexandria database describes a PBEsol-optimized structure of Ba4ReHg. The functional is SCAN.

Results
calculated volume	212.9	Å³/f.u.
energy	-290.27	eV for the cell shown
M_tot	1.5	μB/cell

```
Ba4ReHg
1.0
0.000 4.740 4.740
4.740 0.000 4.740
4.740 4.740 0.000
Ba Re Hg
4 1 1
Direct
0.125 0.125 0.125
0.125 0.125 0.626
0.125 0.626 0.125
0.626 0.125 0.125
0.750 0.750 0.750
0.500 0.500 0.500
```

(6)
This record from the Alexandria database describes a PBEsol-optimized structure of YTi3Cu. The functional is SCAN.

Results
calculated volume	100.6	Å³/f.u.
energy	-82.28	eV for the cell shown
M_tot	2.3	μB/cell

```
YTi3Cu
1.0
4.651 0.000 0.000
0.000 4.651 0.000
0.000 0.000 4.651
Y Ti Cu
1 3 1
Direct
0.000 0.000 0.000
0.000 0.000 0.500
0.000 0.500 0.000
0.500 0.000 0.000
0.500 0.500 0.500
```

(7)
This record from the Alexandria database describes a PBEsol-optimized structure of Sr2Cr. The functional is SCAN.

Results
calculated volume	125.1	Å³/f.u.
energy	-122.98	eV for the cell shown
M_tot	10.4	μB/cell

```
Sr2Cr
1.0
7.767 0.000 0.000
0.000 8.131 0.000
0.000 0.000 3.963
Sr Cr
4 2
Direct
0.213 0.164 0.000
0.287 0.664 0.500
0.713 0.336 0.500
0.787 0.836 0.000
0.000 0.500 0.000
0.500 0.000 0.500
```

(8)
This record from the Alexandria database describes a PBEsol-optimized structure of ScGaCuI2. The functional is SCAN.

Results
calculated volume	147.1	Å³/f.u.
M_tot	1.5	μB/cell
E_form (uncorrected)	6.0	kcal/mol of atoms

```
ScGaCuI2
1.0
5.773 0.000 0.000
0.000 5.773 0.000
0.000 0.000 4.414
Sc Ga Cu I
1 1 1 2
Direct
0.000 0.000 0.000
0.500 0.500 0.500
0.500 0.500 0.000
0.000 0.500 0.500
0.500 0.000 0.500
```